## CeHoMgRu (PBE)

Data for CeHoMgRu after structural relaxation.

a b c (Å): 7.1262 7.1262 7.1262
angles (deg): 90.00 90.00 90.00
With the nearest neighbours (Å) after each atom.
Space group F-43m (No. 216)
One atom of each set of equivalent atoms:
Ce (0.0000, 0.0000, 0.0000) [4 per cell]  4 Mg 3.09, 4 Ru 3.09
Ho (0.0000, 0.0000, 0.5000) [4 per cell]  4 Ru 3.09, 4 Mg 3.09
Mg (0.2500, 0.2500, 0.7500) [4 per cell]  4 Ce 3.09, 4 Ho 3.09
Ru (0.2500, 0.2500, 0.2500) [4 per cell]  4 Ce 3.09, 4 Ho 3.09

Total energy (eV/atom): -5.48
N(E_F) (states/eV/f.u.): 4.3
Theoretical density (g/cm3): 7.90
Crystal system: cubic
Formation enthalpy at 0 K (kJ per mole of atoms): -12.6

---

## CeSmHoMg (PBE)

Data for CeSmHoMg after structural relaxation.

a b c (Å): 7.8228 7.8228 7.8228
angles (deg): 90.00 90.00 90.00
With the nearest neighbours (Å) after each atom.
Space group F-43m (No. 216)
One atom of each set of equivalent atoms:
Ce (0.0000, 0.0000, 0.0000) [4 per cell]  4 Ho 3.39, 4 Mg 3.39
Sm (0.0000, 0.0000, 0.5000) [4 per cell]  4 Mg 3.39, 4 Ho 3.39
Ho (0.2500, 0.2500, 0.2500) [4 per cell]  4 Ce 3.39, 4 Sm 3.39
Mg (0.2500, 0.2500, 0.7500) [4 per cell]  4 Ce 3.39, 4 Sm 3.39

Total energy (eV/atom): -4.12
N(E_F) (states/eV/f.u.): 8.1
Theoretical density (g/cm3): 6.66
Crystal system: cubic
Formation enthalpy at 0 K (kJ per mole of atoms): 8.7

---

## Ce2HoMg2Sn2 (PBE)

Data for Ce2HoMg2Sn2 after structural relaxation.

a b c (Å): 4.8542 4.8542 26.7182
angles (deg): 90.00 90.00 120.00
With the nearest neighbours (Å) after each atom.
Space group R-3m (No. 166, hexagonal axes)
One atom of each set of equivalent atoms:
Ce (0.0000, 0.0000, 0.1401) [6 per cell]  3 Ce 3.14, 3 Mg 3.30, 4 Sn 3.45-3.46
Ho (0.0000, 0.0000, 0.0000) [3 per cell]  6 Sn 3.29, 6 Mg 3.44
Mg (0.0000, 0.0000, 0.4082) [6 per cell]  3 Sn 2.82
Sn (0.0000, 0.0000, 0.2691) [6 per cell]  3 Mg 2.82

Total energy (eV/atom): -4.23
N(E_F) (states/eV/f.u.): 13.9
Theoretical density (g/cm3): 6.68
Crystal system: trigonal
Formation enthalpy at 0 K (kJ per mole of atoms): -27.0

---

## Tb2CeHo2Mg5 (PBE)

Data for Tb2CeHo2Mg5 after structural relaxation.

a b c (Å): 10.5635 10.5635 5.1438
angles (deg): 90.00 90.00 90.00
With the nearest neighbours (Å) after each atom.
Space group P4/mbm (No. 127)
One atom of each set of equivalent atoms:
Tb (0.1776, 0.3224, 0.0000) [4 per cell]  3 Ho 3.04-3.19
Ce (0.0000, 0.0000, 0.0000) [2 per cell]  8 Mg 3.41
Ho (0.1188, 0.6188, 0.0000) [4 per cell]  3 Tb 3.04-3.19, 6 Mg 3.12-3.25
Mg (0.0000, 0.5000, 0.5000) [2 per cell]  4 Ho 3.12, 4 Mg 3.28
Mg (0.0742, 0.8017, 0.5000) [8 per cell]  4 Mg 3.16-3.40, 2 Ho 3.25, 2 Ce 3.41

Total energy (eV/atom): -3.11
N(E_F) (states/eV/f.u.): 14.5
Theoretical density (g/cm3): 5.26
Crystal system: tetragonal
Formation enthalpy at 0 K (kJ per mole of atoms): 11.5